Record 1
The following is a DFT calculation (PBE) of a relaxed ReNi3N crystal. Values from VASP.

```
&SYSTEM
  ibrav = 0, nat = 5, ntyp = 3
/
ATOMIC_SPECIES
Re 186.21 Re.upf
Ni 58.69 Ni.upf
N 14.01 N.upf
ATOMIC_POSITIONS crystal
Re 0.5000 0.5000 0.5000
Ni 0.5000 0.0000 0.0000
Ni 0.0000 0.0000 0.5000
Ni 0.0000 0.5000 0.0000
N 0.0000 0.0000 0.0000
CELL_PARAMETERS angstrom
-1.4252 -3.2690 -1.2765
1.2349 -1.7567 3.1202
-3.2849 0.7578 1.7268
```

Calculated values
**Fermi-level density of states**: 1.496 states/eV per atom
**Volume**: 10.87 A^3/atom
**Total DFT energy (no corrections)**: -7.14 eV per atom

=====

Record 2
The following is a DFT calculation (PBE) of a relaxed ReNi2N2 crystal. Values from VASP.

```
&SYSTEM
  ibrav = 0, nat = 10, ntyp = 3
/
ATOMIC_SPECIES
N 14.01 N.upf
Ni 58.69 Ni.upf
Re 186.21 Re.upf
ATOMIC_POSITIONS crystal
N 0.2248 0.7248 0.5000
N 0.2752 0.2248 0.5000
N 0.7752 0.2752 0.5000
N 0.7248 0.7752 0.5000
Ni 0.3708 0.8708 0.0000
Ni 0.1292 0.3708 0.0000
Ni 0.8708 0.6292 0.0000
Ni 0.6292 0.1292 0.0000
Re 0.5000 0.5000 0.0000
Re 0.0000 0.0000 0.0000
CELL_PARAMETERS angstrom
-5.9042 -1.6428 -1.7693
1.6858 -6.1514 0.0861
-0.7065 -0.1586 2.5048
```

Calculated values
**Fermi-level density of states**: 0.664 states/eV per atom
**Volume**: 10.61 A^3/atom
**Total DFT energy (no corrections)**: -6.84 eV per atom

=====

Record 3
The following is a DFT calculation (PBE) of a relaxed ReNiN3 crystal. Values from VASP.

```
&SYSTEM
  ibrav = 0, nat = 5, ntyp = 3
/
ATOMIC_SPECIES
Ni 58.69 Ni.upf
N 14.01 N.upf
Re 186.21 Re.upf
ATOMIC_POSITIONS crystal
Ni 0.5000 0.5000 0.5000
N 0.0000 0.5000 0.0000
N 0.5000 0.0000 0.0000
N 0.0000 0.0000 0.5000
Re 0.0000 0.0000 0.0000
CELL_PARAMETERS angstrom
3.8649 0.0000 0.0000
0.0000 3.8649 0.0000
0.0000 0.0000 3.8649
```

Calculated values
**Fermi-level density of states**: 0.840 states/eV per atom
**Volume**: 11.55 A^3/atom
**Total DFT energy (no corrections)**: -7.60 eV per atom

=====

Record 4
The following is a DFT calculation (PBE) of a relaxed ReNiSN2 crystal. Values from VASP.

```
&SYSTEM
  ibrav = 0, nat = 5, ntyp = 4
/
ATOMIC_SPECIES
Re 186.21 Re.upf
S 32.06 S.upf
N 14.01 N.upf
Ni 58.69 Ni.upf
ATOMIC_POSITIONS crystal
Re 0.5000 0.5000 0.5000
S 0.0000 0.0000 0.5000
N 0.5000 0.0000 0.0000
N 0.0000 0.5000 0.0000
Ni 0.0000 0.0000 0.0000
CELL_PARAMETERS angstrom
3.6752 0.0000 0.0000
0.0000 3.6752 0.0000
0.0000 0.0000 4.4463
```

Calculated values
**Fermi-level density of states**: 0.696 states/eV per atom
**Volume**: 12.01 A^3/atom
**Total DFT energy (no corrections)**: -6.18 eV per atom

=====

Record 5
The following is a DFT calculation (PBE) of a relaxed ReNiSN2 crystal. Values from VASP.

```
&SYSTEM
  ibrav = 0, nat = 5, ntyp = 4
/
ATOMIC_SPECIES
Ni 58.69 Ni.upf
N 14.01 N.upf
S 32.06 S.upf
Re 186.21 Re.upf
ATOMIC_POSITIONS crystal
Ni 0.5000 0.5000 0.5000
N 0.0000 0.5000 0.0000
N 0.5000 0.0000 0.0000
S 0.0000 0.0000 0.5000
Re 0.0000 0.0000 0.0000
CELL_PARAMETERS angstrom
-1.5353 0.2177 3.4330
-3.3364 -1.0092 -1.4281
1.1419 -4.9409 0.8239
```

Calculated values
**Fermi-level density of states**: 0.679 states/eV per atom
**Volume**: 14.58 A^3/atom
**Total DFT energy (no corrections)**: -7.13 eV per atom

=====

Record 6
The following is a DFT calculation (PBE) of a relaxed ReNiSe2N crystal. Values from VASP.

```
&SYSTEM
  ibrav = 0, nat = 5, ntyp = 4
/
ATOMIC_SPECIES
Ni 58.69 Ni.upf
Se 78.96 Se.upf
N 14.01 N.upf
Re 186.21 Re.upf
ATOMIC_POSITIONS crystal
Ni 0.5000 0.5000 0.5000
Se 0.5000 0.0000 0.0000
Se 0.0000 0.5000 0.0000
N 0.0000 0.0000 0.5000
Re 0.0000 0.0000 0.0000
CELL_PARAMETERS angstrom
-3.0286 -2.7283 -2.8991
0.8194 -3.9919 2.9008
-2.8855 0.9491 2.1212
```

Calculated values
**Fermi-level density of states**: 1.099 states/eV per atom
**Volume**: 18.54 A^3/atom
**Total DFT energy (no corrections)**: -6.05 eV per atom